# K2OsRh | the Alexandria database | PBE | relaxed
data_K2OsRh
_symmetry_space_group_name_H-M 'C 1 m 1'
_symmetry_Int_Tables_number 8
_symmetry_space_group_name_Hall 'C -2y'
_cell_length_a 8.5066
_cell_length_b 2.8373
_cell_length_c 9.8860
_cell_angle_alpha 90.00
_cell_angle_beta 92.74
_cell_angle_gamma 90.00
loop_
_atom_site_label
_atom_site_type_symbol
_atom_site_fract_x
_atom_site_fract_y
_atom_site_fract_z
K1 K 0.0000 0.0000 0.0000
K2 K 0.2362 0.0000 0.5595
Os1 Os 0.4860 0.0000 0.3153
Rh1 Rh 0.2494 0.5000 0.2415
# Total moment = 0.000 Bohr magnetons per cell
# Final energy = -4.54 eV per atom
# Energy above the lowest structure with this stoichiometry = 1.68 kcal/mol of atoms
# DOS at the Fermi energy = 0.83 states/eV per atom
# DFT formation energy = 0.655 eV per atom